VASP calculation (PBE with a Hubbard U) on a relaxed CsMn2TlF8 crystal.

Values from the calculation:
As for the final energy: -5.1666 eV per atom.

Cell and atoms, written as POSCAR:
```
CsMn2TlF8
1.0
-6.024 0.796 1.897
1.469 -0.476 4.470
0.600 6.628 1.938
F Mn Tl Cs
8 2 1 1
direct
0.576 0.759 0.407
0.215 0.592 0.792
0.785 0.408 0.208
0.574 0.759 0.915
0.222 0.604 0.273
0.778 0.396 0.727
0.426 0.241 0.085
0.424 0.241 0.593
0.497 0.492 0.759
0.503 0.508 0.241
0.000 0.000 0.000
0.000 0.000 0.500
```